Record 1
# P4Au5 | Alexandria via LeMat-Bulk | PBE-GGA | optimized geometry
data_P4Au5
_chemical_formula_sum 'P8 Au10'
_symmetry_space_group_name_H-M 'I 4/m m m'
_symmetry_Int_Tables_number 139
_symmetry_space_group_name_Hall '-I 4 2'
_cell_length_a 10.363
_cell_length_b 10.363
_cell_length_c 2.946
_cell_angle_alpha 90.00
_cell_angle_beta 90.00
_cell_angle_gamma 90.00
loop_
_atom_site_label
_atom_site_fract_x
_atom_site_fract_y
_atom_site_fract_z
P1 0.000 0.363 0.000
Au1 0.000 0.000 0.000
Au2 0.167 0.167 0.500
# **ΔH_f (0 K)**: 427 meV/atom
# **Total magnetization**: 0.0 μB per cell
# **Total DFT energy (no corrections)**: -3.798 eV/atom
# **DOS at the Fermi energy**: 5.233 states/eV per cell
# **Distance to the lowest polymorph of the same formula**: 0 meV/atom


Record 2
# BeCr3Ag | Alexandria via LeMat-Bulk | PBE-GGA | optimized geometry
data_BeCr3Ag
_chemical_formula_sum 'Be1 Cr3 Ag1'
_symmetry_space_group_name_H-M 'P m -3 m'
_symmetry_Int_Tables_number 221
_symmetry_space_group_name_Hall '-P 4 2 3'
_cell_length_a 4.004
_cell_length_b 4.004
_cell_length_c 4.004
_cell_angle_alpha 90.00
_cell_angle_beta 90.00
_cell_angle_gamma 90.00
loop_
_atom_site_label
_atom_site_fract_x
_atom_site_fract_y
_atom_site_fract_z
Be1 0.000 0.000 0.000
Cr1 0.000 0.000 0.500
Ag1 0.500 0.500 0.500
# **ΔH_f (0 K)**: 975 meV/atom
# **Total magnetization**: 0.0 μB per cell
# **Total DFT energy (no corrections)**: -6.115 eV/atom
# **DOS at the Fermi energy**: 5.969 states/eV per cell
# **Distance to the lowest polymorph of the same formula**: 0 meV/atom


The highest ΔH_f (0 K) belongs to which entry? BeCr3Ag